# Y2RhCl2

An optimized crystal structure of Y2RhCl2 (GGA-PBE, the Alexandria database).

Properties
Energy relative to the elements, uncorrected ... -1.495 eV/atom
Total energy ... -6.29 eV/atom
Offset from the most stable computed form ... 0.000 eV per atom
Symmetry ... C2/m

Cell: 3.8844 3.8844 11.0566 Å, 101.18 101.18 60.00°
Fractional coordinates of all 5 atoms:
Y  0.2237  0.2237  0.1552
Y  0.7763  0.7763  0.8448
Rh  0.5000  0.5000  0.0000
Cl  0.0503  0.0503  0.6834
Cl  0.9497  0.9497  0.3166

# CaSbOs2

An optimized crystal structure of CaSbOs2 (GGA-PBE, the Alexandria database).

Properties
Energy relative to the elements, uncorrected ... 0.495 eV/atom
Total energy ... -6.65 eV/atom
Symmetry ... C2/m

Cell: 4.9837 4.9837 5.3767 Å, 104.74 104.74 37.35°
Fractional coordinates of all 4 atoms:
Ca  0.0000  0.0000  0.0000
Sb  0.5000  0.5000  0.5000
Os  0.2318  0.2318  0.6866
Os  0.7682  0.7682  0.3134

# Cu3PSe

An optimized crystal structure of Cu3PSe (GGA-PBE, the Alexandria database).

Properties
Energy relative to the elements, uncorrected ... 0.733 eV/atom
Total energy ... -3.50 eV/atom
Offset from the most stable computed form ... 0.438 eV per atom
Symmetry ... Pm-3m

Cell: 4.5562 4.5562 4.5562 Å, 90.00 90.00 90.00°
Fractional coordinates of all 5 atoms:
Cu  0.0000  0.0000  0.5000
Cu  0.0000  0.5000  0.0000
Cu  0.5000  0.0000  0.0000
P  0.5000  0.5000  0.5000
Se  0.0000  0.0000  0.0000

# RbAcIO6

An optimized crystal structure of RbAcIO6 (GGA-PBE, the Alexandria database).

Properties
Energy relative to the elements, uncorrected ... -1.354 eV/atom
Total energy ... -5.40 eV/atom
Symmetry ... P-31c

Cell: 6.1659 6.1659 11.1800 Å, 90.00 90.00 120.00°
Fractional coordinates of all 18 atoms:
Rb  0.0000  0.0000  0.0000
Rb  0.0000  0.0000  0.5000
Ac  0.3333  0.6667  0.2500
Ac  0.6667  0.3333  0.7500
I  0.3333  0.6667  0.7500
I  0.6667  0.3333  0.2500
O  0.0733  0.4193  0.6535
O  0.0733  0.6540  0.8465
O  0.3460  0.4193  0.8465
O  0.3460  0.9267  0.6535
O  0.4193  0.0733  0.1535
O  0.4193  0.3460  0.3465
O  0.5807  0.6540  0.6535
O  0.5807  0.9267  0.8465
O  0.6540  0.0733  0.3465
O  0.6540  0.5807  0.1535
O  0.9267  0.3460  0.1535
O  0.9267  0.5807  0.3465

# K2LaScSi

An optimized crystal structure of K2LaScSi (GGA-PBE, the Alexandria database).

Properties
Energy relative to the elements, uncorrected ... 1.119 eV/atom
Total energy ... -2.66 eV/atom
Symmetry ... P4/mmm

Cell: 6.9244 6.9244 5.2879 Å, 90.00 90.00 90.00°
Fractional coordinates of all 5 atoms:
K  0.0000  0.5000  0.0000
K  0.5000  0.0000  0.0000
La  0.0000  0.0000  0.0000
Sc  0.5000  0.5000  0.5000
Si  0.0000  0.0000  0.5000

# MoW2Br

An optimized crystal structure of MoW2Br (GGA-PBE, the Alexandria database).

Properties
Energy relative to the elements, uncorrected ... 0.939 eV/atom
Total energy ... -8.66 eV/atom
Offset from the most stable computed form ... 0.406 eV per atom
Symmetry ... P2/m

Cell: 2.9274 4.3121 5.5747 Å, 90.00 104.20 90.00°
Fractional coordinates of all 4 atoms:
Mo  0.0000  0.0000  0.0000
W  0.4923  0.5000  0.2266
W  0.5077  0.5000  0.7734
Br  0.0000  0.0000  0.5000

# Er3ScTl3S8

An optimized crystal structure of Er3ScTl3S8 (GGA-PBE, the Alexandria database).

Properties
Energy relative to the elements, uncorrected ... -1.468 eV/atom
Total energy ... -5.48 eV/atom
Symmetry ... C2/m

Cell: 7.8777 7.8777 8.6561 Å, 117.12 117.12 60.00°
Fractional coordinates of all 15 atoms:
Er  0.0000  0.0000  0.0000
Er  0.0000  0.5000  0.0000
Er  0.5000  0.0000  0.0000
Sc  0.5000  0.5000  0.0000
Tl  0.0000  0.5000  0.5000
Tl  0.5000  0.0000  0.5000
Tl  0.5000  0.5000  0.5000
S  0.2338  0.2338  0.2012
S  0.2430  0.7259  0.1946
S  0.2743  0.2743  0.8054
S  0.2741  0.7570  0.8054
S  0.7259  0.2430  0.1946
S  0.7257  0.7257  0.1946
S  0.7570  0.2741  0.8054
S  0.7662  0.7662  0.7988

# PrNbCuO5

An optimized crystal structure of PrNbCuO5 (GGA-PBE, the Alexandria database).

Properties
Energy relative to the elements, uncorrected ... -2.269 eV/atom
Total energy ... -7.74 eV/atom
Symmetry ... C2/c

Cell: 5.7459 5.7459 7.5943 Å, 101.73 101.73 111.69°
Fractional coordinates of all 16 atoms:
Pr  0.1755  0.8245  0.7500
Pr  0.8245  0.1755  0.2500
Nb  0.5000  0.5000  0.0000
Nb  0.5000  0.5000  0.5000
Cu  0.1719  0.8281  0.2500
Cu  0.8281  0.1719  0.7500
O  0.1422  0.2060  0.9255
O  0.2060  0.1422  0.4255
O  0.2186  0.6242  0.4176
O  0.3758  0.7814  0.0824
O  0.4326  0.5674  0.7500
O  0.5674  0.4326  0.2500
O  0.6242  0.2186  0.9176
O  0.7814  0.3758  0.5824
O  0.7940  0.8578  0.5745
O  0.8578  0.7940  0.0745

# TbNd5Sm8

An optimized crystal structure of TbNd5Sm8 (GGA-PBE, the Alexandria database).

Properties
Total energy ... -4.49 eV/atom
Symmetry ... I-4
DFT formation energy ... 236.3 meV/atom

Cell: 8.5999 8.5999 8.5999 Å, 110.89 110.89 106.66°
Fractional coordinates of all 14 atoms:
Tb  0.0000  0.0000  0.0000
Nd  0.2187  0.0371  0.6031
Nd  0.3844  0.7813  0.8184
Nd  0.4340  0.6156  0.3969
Nd  0.7500  0.2500  0.5000
Nd  0.9629  0.5660  0.1816
Sm  0.0793  0.3148  0.4023
Sm  0.1726  0.4172  0.8961
Sm  0.3231  0.9207  0.2355
Sm  0.5211  0.2765  0.1039
Sm  0.5828  0.4789  0.7554
Sm  0.6852  0.0875  0.7645
Sm  0.7235  0.8274  0.2446
Sm  0.9125  0.6769  0.5977

# Li12TmHg6

An optimized crystal structure of Li12TmHg6 (GGA-PBE, the Alexandria database).

Properties
Total energy ... -1.78 eV/atom
Symmetry ... R-3
DFT formation energy ... -239.3 meV/atom

Cell: 7.2741 7.2741 7.2741 Å, 88.48 88.48 88.48°
Fractional coordinates of all 19 atoms:
Li  0.0242  0.9056  0.3128
Li  0.0944  0.6872  0.9758
Li  0.1034  0.4517  0.3390
Li  0.3128  0.0242  0.9056
Li  0.3390  0.1034  0.4517
Li  0.4517  0.3390  0.1034
Li  0.5483  0.6610  0.8966
Li  0.6610  0.8966  0.5483
Li  0.6872  0.9758  0.0944
Li  0.8966  0.5483  0.6610
Li  0.9056  0.3128  0.0242
Li  0.9758  0.0944  0.6872
Tm  0.5000  0.5000  0.5000
Hg  0.2113  0.3732  0.7780
Hg  0.2220  0.7887  0.6268
Hg  0.3732  0.7780  0.2113
Hg  0.6268  0.2220  0.7887
Hg  0.7780  0.2113  0.3732
Hg  0.7887  0.6268  0.2220

# InFe2W

An optimized crystal structure of InFe2W (GGA-PBE, the Alexandria database).

Properties
Total energy ... -7.80 eV/atom
Symmetry ... P4/mmm
DFT formation energy ... 356.6 meV/atom

Cell: 4.3302 4.3302 3.0054 Å, 90.00 90.00 90.00°
Fractional coordinates of all 4 atoms:
In  0.0000  0.0000  0.0000
Fe  0.0000  0.5000  0.5000
Fe  0.5000  0.0000  0.5000
W  0.5000  0.5000  0.0000

# TbAlZnAg

An optimized crystal structure of TbAlZnAg (GGA-PBE, the Alexandria database).

Properties
Total energy ... -3.45 eV/atom
Symmetry ... F-43m
DFT formation energy ... -327.0 meV/atom

Cell: 4.7808 4.7808 4.7808 Å, 60.00 60.00 60.00°
Fractional coordinates of all 4 atoms:
Tb  0.0000  0.0000  0.0000
Al  0.5000  0.5000  0.5000
Zn  0.2500  0.2500  0.2500
Ag  0.7500  0.7500  0.7500

# Ac3Zn2Au3

An optimized crystal structure of Ac3Zn2Au3 (GGA-PBE, the Alexandria database).

Properties
Total energy ... -3.75 eV/atom
Symmetry ... Cmcm
DFT formation energy ... -662.9 meV/atom

Cell: 6.1941 6.1941 15.9784 Å, 90.00 90.00 135.52°
Fractional coordinates of all 16 atoms:
Ac  0.1015  0.8985  0.5984
Ac  0.1015  0.8985  0.9016
Ac  0.3824  0.6176  0.7500
Ac  0.6176  0.3824  0.2500
Ac  0.8985  0.1015  0.0984
Ac  0.8985  0.1015  0.4016
Zn  0.1964  0.8036  0.1020
Zn  0.1964  0.8036  0.3980
Zn  0.8036  0.1964  0.6020
Zn  0.8036  0.1964  0.8980
Au  0.3269  0.6731  0.2500
Au  0.3905  0.6095  0.5490
Au  0.3905  0.6095  0.9510
Au  0.6095  0.3905  0.0490
Au  0.6095  0.3905  0.4510
Au  0.6731  0.3269  0.7500

# YInAs2

An optimized crystal structure of YInAs2 (GGA-PBE, the Alexandria database).

Properties
Total energy ... -5.34 eV/atom
Symmetry ... Pmm2
DFT formation energy ... -716.2 meV/atom

Cell: 4.0807 5.9569 4.0803 Å, 90.00 90.00 90.00°
Fractional coordinates of all 4 atoms:
Y  0.0000  0.0000  0.0000
In  0.5000  0.5000  0.5038
As  0.0000  0.5000  0.0034
As  0.5000  0.0000  0.5002

# K2TlCd12Au3

An optimized crystal structure of K2TlCd12Au3 (GGA-PBE, the Alexandria database).

Properties
Total energy ... -1.33 eV/atom
Symmetry ... R-3m
DFT formation energy ... 81.7 meV/atom

Cell: 8.6370 8.6370 8.6370 Å, 72.50 72.50 72.50°
Fractional coordinates of all 18 atoms:
K  0.0935  0.0935  0.0935
K  0.9065  0.9065  0.9065
Tl  0.5000  0.5000  0.5000
Cd  0.1274  0.6541  0.6541
Cd  0.2099  0.2099  0.6410
Cd  0.2099  0.6410  0.2099
Cd  0.3459  0.3459  0.8726
Cd  0.3459  0.8726  0.3459
Cd  0.3590  0.7901  0.7901
Cd  0.6410  0.2099  0.2099
Cd  0.6541  0.1274  0.6541
Cd  0.6541  0.6541  0.1274
Cd  0.7901  0.3590  0.7901
Cd  0.7901  0.7901  0.3590
Cd  0.8726  0.3459  0.3459
Au  0.0000  0.5000  0.5000
Au  0.5000  0.0000  0.5000
Au  0.5000  0.5000  0.0000

# Na2YBeO

An optimized crystal structure of Na2YBeO (GGA-PBE, the Alexandria database).

Properties
Energy relative to the elements, uncorrected ... 0.511 eV/atom
Total energy ... -3.05 eV/atom
Symmetry ... P4/mmm

Cell: 4.5604 4.5604 5.5203 Å, 90.00 90.00 90.00°
Fractional coordinates of all 5 atoms:
Na  0.0000  0.5000  0.0000
Na  0.5000  0.0000  0.0000
Y  0.0000  0.0000  0.5000
Be  0.0000  0.0000  0.0000
O  0.5000  0.5000  0.5000

# KNaTiS3

An optimized crystal structure of KNaTiS3 (GGA-PBE, the Alexandria database).

Properties
Energy relative to the elements, uncorrected ... -1.078 eV/atom
Total energy ... -4.86 eV/atom
Symmetry ... C2/m

Cell: 6.3981 6.3981 8.4342 Å, 105.70 105.70 77.08°
Fractional coordinates of all 12 atoms:
K  0.1749  0.1749  0.1662
K  0.8251  0.8251  0.8338
Na  0.2380  0.7620  0.5000
Na  0.7620  0.2380  0.5000
Ti  0.4120  0.4120  0.8234
Ti  0.5880  0.5880  0.1766
S  0.2242  0.6465  0.1513
S  0.2452  0.2452  0.5693
S  0.3535  0.7758  0.8487
S  0.6465  0.2242  0.1513
S  0.7548  0.7548  0.4307
S  0.7758  0.3535  0.8487

# PmNpAl2

An optimized crystal structure of PmNpAl2 (GGA-PBE, the Alexandria database).

Properties
Total energy ... -6.36 eV/atom
Symmetry ... P4/mmm
DFT formation energy ... -68.4 meV/atom

Cell: 3.1796 3.1796 9.0237 Å, 90.00 90.00 90.00°
Fractional coordinates of all 4 atoms:
Pm  0.0000  0.0000  0.0000
Np  0.0000  0.0000  0.5000
Al  0.5000  0.5000  0.2570
Al  0.5000  0.5000  0.7430

# Ho12Cd6Ag

An optimized crystal structure of Ho12Cd6Ag (GGA-PBE, the Alexandria database).

Properties
Total energy ... -3.43 eV/atom
Symmetry ... R-3
DFT formation energy ... -97.6 meV/atom

Cell: 8.0268 8.0268 8.0268 Å, 88.32 88.32 88.32°
Fractional coordinates of all 19 atoms:
Ho  0.0322  0.3025  0.9449
Ho  0.0551  0.9678  0.6975
Ho  0.1369  0.3497  0.4839
Ho  0.3025  0.9449  0.0322
Ho  0.3497  0.4839  0.1369
Ho  0.4839  0.1369  0.3497
Ho  0.5161  0.8631  0.6503
Ho  0.6503  0.5161  0.8631
Ho  0.6975  0.0551  0.9678
Ho  0.8631  0.6503  0.5161
Ho  0.9449  0.0322  0.3025
Ho  0.9678  0.6975  0.0551
Cd  0.2325  0.7648  0.3913
Cd  0.2352  0.6087  0.7675
Cd  0.3913  0.2325  0.7648
Cd  0.6087  0.7675  0.2352
Cd  0.7648  0.3913  0.2325
Cd  0.7675  0.2352  0.6087
Ag  0.5000  0.5000  0.5000

# NaCuTe3

An optimized crystal structure of NaCuTe3 (GGA-PBE, the Alexandria database).

Properties
Energy relative to the elements, uncorrected ... 0.010 eV/atom
Total energy ... -2.96 eV/atom
Offset from the most stable computed form ... 0.207 eV per atom
Symmetry ... Pm-3m

Cell: 5.2504 5.2504 5.2504 Å, 90.00 90.00 90.00°
Fractional coordinates of all 5 atoms:
Na  0.0000  0.0000  0.0000
Cu  0.5000  0.5000  0.5000
Te  0.0000  0.5000  0.5000
Te  0.5000  0.0000  0.5000
Te  0.5000  0.5000  0.0000

# K2SrBe

An optimized crystal structure of K2SrBe (GGA-PBE, the Alexandria database).

Properties
Total energy ... -1.27 eV/atom
Symmetry ... P4/mmm
DFT formation energy ... 633.4 meV/atom

Cell: 5.0752 5.0752 6.5928 Å, 90.00 90.00 90.00°
Fractional coordinates of all 4 atoms:
K  0.0000  0.5000  0.0000
K  0.5000  0.0000  0.0000
Sr  0.0000  0.0000  0.5000
Be  0.5000  0.5000  0.5000

# Tb7HoCd2

An optimized crystal structure of Tb7HoCd2 (GGA-PBE, the Alexandria database).

Properties
Total energy ... -3.47 eV/atom
Symmetry ... Cmmm
DFT formation energy ... 410.0 meV/atom

Cell: 9.0899 9.0899 5.2439 Å, 90.00 90.00 121.08°
Fractional coordinates of all 10 atoms:
Tb  0.0000  0.0000  0.0000
Tb  0.2015  0.4339  0.0000
Tb  0.2778  0.7222  0.5000
Tb  0.4339  0.2015  0.0000
Tb  0.5661  0.7985  0.0000
Tb  0.7222  0.2778  0.5000
Tb  0.7985  0.5661  0.0000
Ho  0.5000  0.5000  0.5000
Cd  0.1963  0.8037  0.0000
Cd  0.8037  0.1963  0.0000

# Pr3S4

An optimized crystal structure of Pr3S4 (GGA-PBE, the Alexandria database).

Properties
Energy relative to the elements, uncorrected ... -1.924 eV/atom
Total energy ... -6.33 eV/atom
Offset from the most stable computed form ... 0.092 eV per atom
Symmetry ... R-3m

Cell: 11.2113 11.2113 11.2113 Å, 22.57 22.57 22.57°
Fractional coordinates of all 7 atoms:
Pr  0.0000  0.0000  0.0000
Pr  0.2299  0.2299  0.2299
Pr  0.7701  0.7701  0.7701
S  0.1351  0.1351  0.1351
S  0.3813  0.3813  0.3813
S  0.6187  0.6187  0.6187
S  0.8649  0.8649  0.8649